Below is CaPb2Au after structural relaxation, with properties calculated at the PBE level.

a = 3.9201 Å, b = 3.9201 Å, c = 7.1924 Å
α = 90.00°, β = 90.00°, γ = 94.82°
Closest atoms and distances in Å follow each position.
Positions (direct):
Pb1 0.0000 0.0000 0.4645  4 Au 3.07-3.27, 1 Pb 3.09, 2 Ca 3.35
Pb2 0.0000 0.0000 0.0355  4 Au 3.07-3.27, 1 Pb 3.09, 2 Ca 3.35
Au1 0.5000 0.5000 0.2500  8 Pb 3.07-3.27
Ca1 0.5000 0.5000 0.7500  8 Pb 3.35-3.54, 2 Au 3.60

Values from the calculation:
- raw total energy (eV for the cell shown) = -13.5
- space group = No. 65

=====

Below is CaPb2Au2 after structural relaxation, with properties calculated at the PBE level.

a = 4.5294 Å, b = 4.5294 Å, c = 7.4007 Å
α = 72.18°, β = 72.18°, γ = 90.00°
Closest atoms and distances in Å follow each position.
Positions (direct):
Au1 0.4005 0.4005 0.1990  1 Au 2.65
Au2 0.5995 0.5995 0.8010  1 Au 2.65
Ca1 0.0000 0.0000 0.0000  8 Au 3.47
Pb1 0.2500 0.7500 0.5000  4 Au 3.03, 4 Pb 3.20
Pb2 0.7500 0.2500 0.5000  4 Au 3.03, 4 Pb 3.20

Values from the calculation:
- raw total energy (eV for the cell shown) = -17.6
- space group = No. 139

=====

Below is Ca2PbAu after structural relaxation, with properties calculated at the PBE level.

a = 5.4198 Å, b = 3.6995 Å, c = 5.4202 Å
α = 90.01°, β = 90.00°, γ = 90.00°
Closest atoms and distances in Å follow each position.
Positions (direct):
Pb1 0.0000 0.6247 0.3769  8 Ca 3.28
Ca1 0.0000 0.1248 0.8764  4 Pb 3.28, 4 Au 3.28
Ca2 0.5000 0.1248 0.3739  4 Au 3.28-3.29, 4 Pb 3.28
Au1 0.5000 0.6256 0.8729  8 Ca 3.28-3.29

Values from the calculation:
- raw total energy (eV for the cell shown) = -13.7
- space group = No. 25

=====

Below is Ca2PbAu4 after structural relaxation, with properties calculated at the PBE level.

a = 5.5814 Å, b = 5.5814 Å, c = 9.2940 Å
α = 116.77°, β = 116.77°, γ = 60.36°
Closest atoms and distances in Å follow each position.
Positions (direct):
Au1 0.0000 0.5000 0.0000  2 Pb 2.79, 2 Au 2.81
Au2 0.5000 0.0000 0.0000  2 Pb 2.79, 2 Au 2.81
Au3 0.8037 0.8037 0.6081  3 Ca 2.91-3.05, 1 Pb 3.11
Au4 0.1963 0.1963 0.3919  3 Ca 2.91-3.05, 1 Pb 3.11
Ca1 0.3790 0.3790 0.7587  3 Au 2.91-3.05
Ca2 0.6210 0.6210 0.2413  3 Au 2.91-3.05
Pb1 0.0000 0.0000 0.0000  6 Au 2.79-3.11

Values from the calculation:
- raw total energy (eV for the cell shown) = -22.8
- space group = No. 12

=====

Below is CaPbAu5 after structural relaxation, with properties calculated at the PBE level.

a = 5.7637 Å, b = 9.3250 Å, c = 11.5269 Å
α = 90.00°, β = 90.00°, γ = 90.00°
Closest atoms and distances in Å follow each position.
Positions (direct):
Au1 0.7500 0.9043 0.5275  6 Au 2.83-2.98
Au2 0.2500 0.6628 0.2722  7 Au 2.83-3.04, 2 Pb 3.06
Au3 0.4942 0.0831 0.6854  7 Au 2.82-2.95, 2 Pb 3.09-3.10
Au4 0.2500 0.9045 0.0956  1 Pb 2.79, 5 Au 2.85-3.04
Au5 0.2500 0.1628 0.2278  7 Au 2.83-3.04, 2 Pb 3.06
Au6 0.7500 0.5955 0.5956  1 Pb 2.79, 5 Au 2.85-3.04
Au7 0.0058 0.0831 0.6854  7 Au 2.82-2.95, 2 Pb 3.09-3.10
Au8 0.2500 0.0957 0.4725  6 Au 2.83-2.98
Au9 0.2500 0.4045 0.4044  1 Pb 2.79, 5 Au 2.85-3.04
Au10 0.5058 0.9169 0.3146  7 Au 2.82-2.95, 2 Pb 3.09-3.10
Au11 0.2500 0.5957 0.0275  6 Au 2.83-2.98
Au12 0.7500 0.8372 0.7722  7 Au 2.83-3.04, 2 Pb 3.06
Au13 0.7500 0.0955 0.9044  1 Pb 2.79, 5 Au 2.85-3.04
Au14 0.5058 0.4169 0.1854  7 Au 2.82-2.95, 2 Pb 3.09-3.10
Au15 0.4942 0.5831 0.8146  7 Au 2.82-2.95, 2 Pb 3.09-3.10
Au16 0.9942 0.9169 0.3146  7 Au 2.82-2.95, 2 Pb 3.09-3.10
Au17 0.7500 0.3372 0.7278  7 Au 2.83-3.04, 2 Pb 3.06
Au18 0.9942 0.4169 0.1854  7 Au 2.82-2.95, 2 Pb 3.09-3.10
Au19 0.7500 0.4043 0.9725  6 Au 2.83-2.98
Au20 0.0058 0.5831 0.8146  7 Au 2.82-2.95, 2 Pb 3.09-3.10
Pb1 0.2500 0.3749 0.6451  7 Au 2.79-3.10
Pb2 0.2500 0.8749 0.8549  7 Au 2.79-3.10
Pb3 0.7500 0.1251 0.1451  7 Au 2.79-3.10
Pb4 0.7500 0.6251 0.3549  7 Au 2.79-3.10
Ca1 0.2500 0.7622 0.5528  8 Au 3.19-3.43
Ca2 0.2500 0.2622 0.9472  8 Au 3.19-3.43
Ca3 0.7500 0.2378 0.4472  8 Au 3.19-3.43
Ca4 0.7500 0.7378 0.0528  8 Au 3.19-3.43

Values from the calculation:
- raw total energy (eV for the cell shown) = -97.4
- space group = No. 62

=====

Below is Ca2PbAu after structural relaxation, with properties calculated at the PBE level.

a = 8.8087 Å, b = 8.8087 Å, c = 8.8087 Å
α = 26.70°, β = 26.70°, γ = 26.70°
Closest atoms and distances in Å follow each position.
Positions (direct):
Au1 0.7500 0.7500 0.7500  6 Ca 3.01
Ca1 0.4907 0.4907 0.4907  3 Au 3.01, 3 Pb 3.33
Ca2 0.0093 0.0093 0.0093  3 Au 3.01, 3 Pb 3.33
Pb1 0.2500 0.2500 0.2500  6 Ca 3.33

Values from the calculation:
- raw total energy (eV for the cell shown) = -13.0
- space group = No. 166